Record 1
VASP calculation (GGA-PBE) on crystalline ErGaBRu2 at its relaxed geometry.

Geometry as CIF:
```
data_ErGaBRu2
_cell_length_a 3.992
_cell_length_b 11.012
_cell_length_c 7.357
_cell_angle_alpha 90.00
_cell_angle_beta 90.00
_cell_angle_gamma 90.00
_space_group_name_H-M_alt 'C m c m'
_space_group_IT_number 63
_space_group_name_Hall '-C 2c 2'
loop_
_atom_site_label
_atom_site_type_symbol
_atom_site_fract_x
_atom_site_fract_y
_atom_site_fract_z
_atom_site_occupancy
Er1 Er 0.000 0.046 0.250 1
Ga1 Ga 0.000 0.230 0.750 1
B1 B 0.000 0.500 0.000 1
Ru1 Ru 0.000 0.329 0.059 1
```

**Energy relative to the elements**: -2.11 eV/f.u.
**Crystal system**: orthorhombic
**Magnetic moment**: 0.00 μB per formula unit

***

Record 2
VASP calculation (GGA-PBE) on crystalline AlGa2Pt2 at its relaxed geometry.

Geometry as CIF:
```
data_AlGa2Pt2
_cell_length_a 6.762
_cell_length_b 6.762
_cell_length_c 3.602
_cell_angle_alpha 90.00
_cell_angle_beta 90.00
_cell_angle_gamma 90.00
_space_group_name_H-M_alt 'P 4/m b m'
_space_group_IT_number 127
_space_group_name_Hall '-P 4 2ab'
loop_
_atom_site_label
_atom_site_type_symbol
_atom_site_fract_x
_atom_site_fract_y
_atom_site_fract_z
_atom_site_occupancy
Al1 Al 0.000 0.000 0.000 1
Ga1 Ga 0.150 0.350 0.500 1
Pt1 Pt 0.154 0.654 0.000 1
```

**Energy relative to the elements**: -2.58 eV/f.u.
**ΔE to the lowest computed polymorph**: 21.87 kJ per mole of atoms
**Crystal system**: tetragonal
**Magnetic moment**: 0.00 μB per formula unit

***

Record 3
VASP calculation (GGA-PBE) on crystalline TmLuTh at its relaxed geometry.

Geometry as CIF:
```
data_TmLuTh
_cell_length_a 3.535
_cell_length_b 3.535
_cell_length_c 14.791
_cell_angle_alpha 90.00
_cell_angle_beta 90.00
_cell_angle_gamma 90.00
_space_group_name_H-M_alt 'I 4 m m'
_space_group_IT_number 107
_space_group_name_Hall 'I 4 -2'
loop_
_atom_site_label
_atom_site_type_symbol
_atom_site_fract_x
_atom_site_fract_y
_atom_site_fract_z
_atom_site_occupancy
Tm1 Tm 0.000 0.000 0.000 1
Lu1 Lu 0.000 0.000 0.673 1
Th1 Th 0.000 0.000 0.336 1
```

**Energy relative to the elements**: 0.07 eV/f.u.
**ΔE to the lowest computed polymorph**: 0.36 kJ per mole of atoms
**Crystal system**: tetragonal
**Magnetic moment**: 0.00 μB per formula unit

***

Record 4
VASP calculation (GGA-PBE) on crystalline CrSiPt2 at its relaxed geometry.

Geometry as CIF:
```
data_CrSiPt2
_cell_length_a 6.172
_cell_length_b 6.172
_cell_length_c 6.172
_cell_angle_alpha 90.00
_cell_angle_beta 90.00
_cell_angle_gamma 90.00
_space_group_name_H-M_alt 'F -4 3 m'
_space_group_IT_number 216
_space_group_name_Hall 'F -4 2 3'
loop_
_atom_site_label
_atom_site_type_symbol
_atom_site_fract_x
_atom_site_fract_y
_atom_site_fract_z
_atom_site_occupancy
Cr1 Cr 0.000 0.000 0.000 1
Si1 Si 0.250 0.250 0.750 1
Pt1 Pt 0.000 0.000 0.500 1
Pt2 Pt 0.250 0.250 0.250 1
```

**E_form (uncorrected)**: -107 meV/atom
**Crystal system**: cubic
**Magnetic moment**: 2.77 μB per formula unit

***

Record 5
VASP calculation (GGA-PBE) on crystalline Ba2LiEuCu4O8 at its relaxed geometry.

Geometry as CIF:
```
data_Ba2LiEuCu4O8
_cell_length_a 3.901
_cell_length_b 3.952
_cell_length_c 14.604
_cell_angle_alpha 89.90
_cell_angle_beta 82.42
_cell_angle_gamma 90.00
_space_group_name_H-M_alt 'P 1'
_space_group_IT_number 1
_space_group_name_Hall 'P 1'
loop_
_atom_site_label
_atom_site_type_symbol
_atom_site_fract_x
_atom_site_fract_y
_atom_site_fract_z
_atom_site_occupancy
Ba1 Ba 0.000 0.000 0.000 1
Ba2 Ba 0.206 0.503 0.588 1
Li1 Li 0.428 0.502 0.143 1
Eu1 Eu 0.331 0.505 0.333 1
Cu1 Cu 0.561 0.501 0.876 1
Cu2 Cu 0.634 0.002 0.734 1
Cu3 Cu 0.775 0.004 0.448 1
Cu4 Cu 0.888 0.005 0.218 1
O1 O 0.283 0.004 0.431 1
O2 O 0.391 0.005 0.211 1
O3 O 0.495 0.500 0.008 1
O4 O 0.567 0.001 0.866 1
O5 O 0.627 0.502 0.746 1
O6 O 0.697 0.003 0.607 1
O7 O 0.783 0.504 0.432 1
O8 O 0.891 0.505 0.211 1
```

**ΔE to the lowest computed polymorph**: 0.00 kJ per mole of atoms
**E_form (uncorrected)**: -1558 meV/atom
**Crystal system**: triclinic
**Magnetic moment**: 6.04 μB per formula unit

***

Record 6
VASP calculation (GGA-PBE) on crystalline Li2Zn9Cd at its relaxed geometry.

Geometry as CIF:
```
data_Li2Zn9Cd
_cell_length_a 8.807
_cell_length_b 8.807
_cell_length_c 5.026
_cell_angle_alpha 90.00
_cell_angle_beta 90.00
_cell_angle_gamma 90.00
_space_group_name_H-M_alt 'P 4/m b m'
_space_group_IT_number 127
_space_group_name_Hall '-P 4 2ab'
loop_
_atom_site_label
_atom_site_type_symbol
_atom_site_fract_x
_atom_site_fract_y
_atom_site_fract_z
_atom_site_occupancy
Li1 Li 0.116 0.384 0.000 1
Zn1 Zn 0.000 0.500 0.500 1
Zn2 Zn 0.062 0.204 0.500 1
Zn3 Zn 0.179 0.679 0.239 1
Cd1 Cd 0.000 0.000 0.000 1
```

**Energy relative to the elements**: -0.89 eV/f.u.
**Crystal system**: tetragonal
**Magnetic moment**: 0.00 μB per formula unit

***

Record 7
VASP calculation (GGA-PBE) on crystalline CaTcCl2 at its relaxed geometry.

Geometry as CIF:
```
data_CaTcCl2
_cell_length_a 3.452
_cell_length_b 4.444
_cell_length_c 5.740
_cell_angle_alpha 90.00
_cell_angle_beta 106.90
_cell_angle_gamma 90.00
_space_group_name_H-M_alt 'P 1 m 1'
_space_group_IT_number 6
_space_group_name_Hall 'P -2y'
loop_
_atom_site_label
_atom_site_type_symbol
_atom_site_fract_x
_atom_site_fract_y
_atom_site_fract_z
_atom_site_occupancy
Ca1 Ca 0.000 0.000 0.000 1
Tc1 Tc 0.362 0.500 0.712 1
Cl1 Cl 0.301 0.000 0.591 1
Cl2 Cl 0.586 0.500 0.178 1
```

**ΔE to the lowest computed polymorph**: 9.10 kJ per mole of atoms
**E_form (uncorrected)**: -453 meV/atom
**Crystal system**: monoclinic
**Magnetic moment**: 1.55 μB per formula unit

***

Record 8
VASP calculation (GGA-PBE) on crystalline Sr2ZrAlIr at its relaxed geometry.

Geometry as CIF:
```
data_Sr2ZrAlIr
_cell_length_a 5.796
_cell_length_b 5.796
_cell_length_c 4.776
_cell_angle_alpha 90.00
_cell_angle_beta 90.00
_cell_angle_gamma 90.00
_space_group_name_H-M_alt 'P 4/m m m'
_space_group_IT_number 123
_space_group_name_Hall '-P 4 2'
loop_
_atom_site_label
_atom_site_type_symbol
_atom_site_fract_x
_atom_site_fract_y
_atom_site_fract_z
_atom_site_occupancy
Sr1 Sr 0.000 0.500 0.000 1
Zr1 Zr 0.000 0.000 0.500 1
Al1 Al 0.500 0.500 0.500 1
Ir1 Ir 0.500 0.500 0.000 1
```

**Energy relative to the elements**: 2.05 eV/f.u.
**Crystal system**: tetragonal
**Magnetic moment**: 2.63 μB per formula unit

***

Record 9
VASP calculation (GGA-PBE) on crystalline KZnSe2 at its relaxed geometry.

Geometry as CIF:
```
data_KZnSe2
_cell_length_a 3.170
_cell_length_b 4.046
_cell_length_c 15.807
_cell_angle_alpha 90.00
_cell_angle_beta 90.00
_cell_angle_gamma 90.00
_space_group_name_H-M_alt 'I m m 2'
_space_group_IT_number 44
_space_group_name_Hall 'I 2 -2'
loop_
_atom_site_label
_atom_site_type_symbol
_atom_site_fract_x
_atom_site_fract_y
_atom_site_fract_z
_atom_site_occupancy
K1 K 0.000 0.000 0.000 1
Zn1 Zn 0.000 0.500 0.254 1
Se1 Se 0.000 0.000 0.627 1
Se2 Se 0.000 0.500 0.832 1
```

**E_form (uncorrected)**: -466 meV/atom
**Crystal system**: orthorhombic
**Magnetic moment**: 0.00 μB per formula unit

***

Record 10
VASP calculation (GGA-PBE) on crystalline TmNi2Sn at its relaxed geometry.

Geometry as CIF:
```
data_TmNi2Sn
_cell_length_a 6.433
_cell_length_b 6.433
_cell_length_c 6.433
_cell_angle_alpha 90.00
_cell_angle_beta 90.00
_cell_angle_gamma 90.00
_space_group_name_H-M_alt 'F m -3 m'
_space_group_IT_number 225
_space_group_name_Hall '-F 4 2 3'
loop_
_atom_site_label
_atom_site_type_symbol
_atom_site_fract_x
_atom_site_fract_y
_atom_site_fract_z
_atom_site_occupancy
Tm1 Tm 0.000 0.000 0.000 1
Ni1 Ni 0.250 0.250 0.250 1
Sn1 Sn 0.000 0.000 0.500 1
```

**Energy relative to the elements**: -2.02 eV/f.u.
**Crystal system**: cubic
**Magnetic moment**: 0.00 μB per formula unit

***

Record 11
VASP calculation (GGA-PBE) on crystalline Cs2SiAg2 at its relaxed geometry.

Geometry as CIF:
```
data_Cs2SiAg2
_cell_length_a 3.932
_cell_length_b 3.932
_cell_length_c 23.090
_cell_angle_alpha 90.00
_cell_angle_beta 90.00
_cell_angle_gamma 90.00
_space_group_name_H-M_alt 'I 4/m m m'
_space_group_IT_number 139
_space_group_name_Hall '-I 4 2'
loop_
_atom_site_label
_atom_site_type_symbol
_atom_site_fract_x
_atom_site_fract_y
_atom_site_fract_z
_atom_site_occupancy
Cs1 Cs 0.000 0.000 0.106 1
Si1 Si 0.000 0.000 0.500 1
Ag1 Ag 0.000 0.500 0.250 1
```

**ΔE to the lowest computed polymorph**: 13.20 kJ per mole of atoms
**E_form (uncorrected)**: 396 meV/atom
**Crystal system**: tetragonal
**Magnetic moment**: 0.69 μB per formula unit

***

Record 12
VASP calculation (GGA-PBE) on crystalline Li2PuIn7 at its relaxed geometry.

Geometry as CIF:
```
data_Li2PuIn7
_cell_length_a 4.637
_cell_length_b 4.637
_cell_length_c 22.591
_cell_angle_alpha 90.00
_cell_angle_beta 90.00
_cell_angle_gamma 90.00
_space_group_name_H-M_alt 'I 4/m m m'
_space_group_IT_number 139
_space_group_name_Hall '-I 4 2'
loop_
_atom_site_label
_atom_site_type_symbol
_atom_site_fract_x
_atom_site_fract_y
_atom_site_fract_z
_atom_site_occupancy
Li1 Li 0.000 0.000 0.180 1
Pu1 Pu 0.000 0.000 0.500 1
In1 In 0.000 0.000 0.000 1
In2 In 0.000 0.500 0.107 1
In3 In 0.000 0.500 0.250 1
```

**Energy relative to the elements**: -0.94 eV/f.u.
**Crystal system**: tetragonal
**Magnetic moment**: 5.81 μB per formula unit